VASP calculation (meta-GGA SCAN) on a PBEsol-optimized structure of In3CoMo.

POSCAR file:
```
In3CoMo
1.0
4.761 0.000 0.000
0.000 4.761 0.000
0.000 0.000 4.761
In Co Mo
3 1 1
direct
0.000 0.000 0.500
0.000 0.500 0.000
0.500 0.000 0.000
0.000 0.000 0.000
0.500 0.500 0.500
```

Values from the calculation:
ΔE to the lowest computed polymorph, meV per atom: 0
Space group: No. 221
Calculated density, g cm⁻³: 7.682
ΔE_f, eV/atom: 0.7767
Uncorrected energy, eV per atom: -29.693

---

VASP calculation (meta-GGA SCAN) on a PBEsol-optimized structure of In3CoMo.

POSCAR file:
```
In3CoMo
1.0
5.139 0.000 0.000
0.000 5.139 0.000
0.000 0.000 5.139
In Co Mo
3 1 1
direct
0.000 0.000 0.500
0.000 0.500 0.000
0.500 0.000 0.000
0.500 0.500 0.500
0.000 0.000 0.000
```

Values from the calculation:
ΔE to the lowest computed polymorph, meV per atom: 343
Space group: No. 221
Calculated density, g cm⁻³: 6.111
ΔE_f, eV/atom: 1.1198
Uncorrected energy, eV per atom: -29.350

---

VASP calculation (meta-GGA SCAN) on a PBEsol-optimized structure of InCo3N.

POSCAR file:
```
InCo3N
1.0
3.791 0.000 0.000
0.000 3.791 0.000
0.000 0.000 3.791
In Co N
1 3 1
direct
0.000 0.000 0.000
0.000 0.500 0.500
0.500 0.000 0.500
0.500 0.500 0.000
0.500 0.500 0.500
```

Values from the calculation:
Energy relative to the elements, uncorrected, eV/atom: 0.010
Space group: No. 221
Calculated density, g cm⁻³: 9.317
Uncorrected energy, eV per atom: -18.908

---

VASP calculation (meta-GGA SCAN) on a PBEsol-optimized structure of InCo2PbN.

POSCAR file:
```
InCo2PbN
1.0
4.791 0.000 0.000
0.000 4.791 0.000
0.000 0.000 4.053
In Co Pb N
1 2 1 1
direct
0.000 0.000 0.000
0.000 0.500 0.000
0.500 0.000 0.000
0.500 0.500 0.500
0.000 0.000 0.500
```

Values from the calculation:
Energy relative to the elements, uncorrected, eV/atom: 1.462
Space group: No. 123
Calculated density, g cm⁻³: 8.102
Uncorrected energy, eV per atom: -29.151

---

VASP calculation (meta-GGA SCAN) on a PBEsol-optimized structure of TaInCo2N.

POSCAR file:
```
TaInCo2N
1.0
4.363 0.000 0.000
0.000 4.363 0.000
0.000 0.000 5.546
Ta In Co N
1 1 2 1
direct
0.000 0.000 0.000
0.000 0.000 0.500
0.000 0.500 0.000
0.500 0.000 0.000
0.500 0.500 0.500
```

Values from the calculation:
Energy relative to the elements, uncorrected, eV/atom: 2.252
Space group: No. 123
Calculated density, g cm⁻³: 6.727
Uncorrected energy, eV per atom: -26.522

---

VASP calculation (meta-GGA SCAN) on a PBEsol-optimized structure of Na2SrInCo.

POSCAR file:
```
Na2SrInCo
1.0
5.565 0.000 0.000
0.000 5.565 0.000
0.000 0.000 6.278
Na Sr In Co
2 1 1 1
direct
0.000 0.500 0.000
0.500 0.000 0.000
0.000 0.000 0.500
0.000 0.000 0.000
0.500 0.500 0.500
```

Values from the calculation:
Space group: No. 123
Calculated density, g cm⁻³: 2.625
ΔE_f, eV/atom: 0.7322
Uncorrected energy, eV per atom: -15.547